# 1
Ca4CoSb (GGA-PBE, relaxed); uncorrected formation energy = 0.537 eV per atom; calculated density = 3055 kg/m3
1.0
0.000 4.525 4.525
4.525 0.000 4.525
4.525 4.525 0.000
Ca Co Sb
4 1 1
Direct
0.375 0.875 0.375
0.375 0.375 0.875
0.375 0.375 0.375
0.875 0.375 0.375
0.750 0.750 0.750
0.000 0.000 0.000

# 2
Tb4Pr3Tm (GGA-PBE, relaxed); E_form = 0.00 eV/atom; calculated density = 7673 kg/m3
1.0
7.260 0.000 0.000
0.000 6.269 0.000
0.000 0.000 11.671
Tm Tb Pr
2 8 6
Direct
0.941 0.334 0.000
0.441 0.666 0.500
0.188 0.834 0.000
0.939 0.000 0.751
0.939 0.000 0.249
0.938 0.666 0.500
0.439 0.000 0.749
0.438 0.334 0.000
0.688 0.166 0.500
0.439 0.000 0.251
0.689 0.833 0.000
0.690 0.498 0.252
0.690 0.498 0.748
0.190 0.502 0.752
0.190 0.502 0.248
0.189 0.167 0.500

# 3
SrAuSe2 (GGA-PBE, relaxed); uncorrected formation energy = -0.701 eV per atom; calculated density = 7155 kg/m3
1.0
-1.304 -5.265 -4.850
2.837 -6.548 -1.422
-2.671 4.780 4.792
Se Au Sr
2 1 1
Direct
0.048 0.048 0.000
0.766 0.266 0.500
0.229 0.729 0.500
0.457 0.457 0.000

Q: What is the calculated density in the third record?
A: 7155 kg/m3

Q: calculated density of number 3 (SrAuSe2)?
A: 7155 kg/m3

What did the first record say?
Ca4CoSb (GGA-PBE, relaxed); uncorrected formation energy = 0.537 eV per atom; calculated density = 3055 kg/m3
1.0
0.000 4.525 4.525
4.525 0.000 4.525
4.525 4.525 0.000
Ca Co Sb
4 1 1
Direct
0.375 0.875 0.375
0.375 0.375 0.875
0.375 0.375 0.375
0.875 0.375 0.375
0.750 0.750 0.750
0.000 0.000 0.000